Compound: Li3Cd4
Source: OQMD via LeMat-Bulk
Functional: PBE
Structure: relaxed

Results
Final energy   -1.568 eV/atom
Symmetry   I4/mmm, No. 139

The structure in CIF format:
```
data_Li3Cd4
_cell_length_a 11.532
_cell_length_b 11.532
_cell_length_c 11.532
_cell_angle_alpha 163.28
_cell_angle_beta 163.27
_cell_angle_gamma 23.74
_symmetry_space_group_name_H-M 'P 1'
_symmetry_Int_Tables_number 1
loop_
_symmetry_equiv_pos_as_xyz
'x,y,z'
loop_
_atom_site_label
_atom_site_type_symbol
_atom_site_fract_x
_atom_site_fract_y
_atom_site_fract_z
Li1 Li 0.639 0.139 0.500
Li2 Li 0.500 0.000 0.500
Li3 Li 0.361 0.861 0.500
Cd1 Cd 0.208 0.708 0.500
Cd2 Cd 0.930 0.430 0.500
Cd3 Cd 0.070 0.570 0.500
Cd4 Cd 0.792 0.292 0.500
```